Entry 1:
A plane-wave DFT calculation with PBEsol was carried out for a geometry-optimized LiInOs2 structure.

Calculated values
raw total energy	-113.06	eV for the cell shown
ρ	14.2	g cm⁻³
crystal system	cubic
formation energy	0.279	eV per atom

Geometry as CIF:
```
data_LiInOs2
_cell_length_a 6.1655
_cell_length_b 6.1655
_cell_length_c 6.1655
_cell_angle_alpha 90.00
_cell_angle_beta 90.00
_cell_angle_gamma 90.00
_space_group_name_H-M_alt 'F -4 3 m'
_space_group_IT_number 216
_space_group_name_Hall 'F -4 2 3'
loop_
_atom_site_label
_atom_site_type_symbol
_atom_site_fract_x
_atom_site_fract_y
_atom_site_fract_z
Li1 Li 0.0000 0.0000 0.0000
In1 In 0.2500 0.2500 0.2500
Os1 Os 0.0000 0.0000 0.5000
Os2 Os 0.2500 0.2500 0.7500
```


Entry 2:
A plane-wave DFT calculation with PBEsol was carried out for a geometry-optimized SrCa2Co structure.

Calculated values
raw total energy	-37.10	eV for the cell shown
ρ	2.8	g cm⁻³
crystal system	trigonal
formation energy	0.369	eV per atom

Geometry as CIF:
```
data_SrCa2Co
_cell_length_a 3.9206
_cell_length_b 3.9206
_cell_length_c 30.2005
_cell_angle_alpha 90.00
_cell_angle_beta 90.00
_cell_angle_gamma 120.00
_space_group_name_H-M_alt 'R -3 m'
_space_group_IT_number 166
_space_group_name_Hall '-R 3 2"'
loop_
_atom_site_label
_atom_site_type_symbol
_atom_site_fract_x
_atom_site_fract_y
_atom_site_fract_z
Sr1 Sr 0.0000 0.0000 0.0000
Ca1 Ca 0.0000 0.0000 0.2198
Co1 Co 0.0000 0.0000 0.5000
```


Entry 3:
A plane-wave DFT calculation with PBEsol was carried out for a geometry-optimized CrGaSb2Rh structure.

Calculated values
raw total energy	-26.10	eV for the cell shown
ρ	6.6	g cm⁻³
crystal system	tetragonal
formation energy without anion corrections	91.3	kJ per mole of atoms

Geometry as CIF:
```
data_CrGaSb2Rh
_cell_length_a 5.1207
_cell_length_b 5.1207
_cell_length_c 4.5135
_cell_angle_alpha 90.00
_cell_angle_beta 90.00
_cell_angle_gamma 90.00
_space_group_name_H-M_alt 'P 4/m m m'
_space_group_IT_number 123
_space_group_name_Hall '-P 4 2'
loop_
_atom_site_label
_atom_site_type_symbol
_atom_site_fract_x
_atom_site_fract_y
_atom_site_fract_z
Cr1 Cr 0.0000 0.0000 0.0000
Ga1 Ga 0.5000 0.5000 0.5000
Sb1 Sb 0.0000 0.5000 0.5000
Rh1 Rh 0.5000 0.5000 0.0000
```


Entry 4:
A plane-wave DFT calculation with PBEsol was carried out for a geometry-optimized CaBe2IrCl structure.

Calculated values
raw total energy	-18.64	eV for the cell shown
ρ	5.9	g cm⁻³
crystal system	tetragonal
formation energy without anion corrections	64.2	kJ per mole of atoms

Geometry as CIF:
```
data_CaBe2IrCl
_cell_length_a 4.0699
_cell_length_b 4.0699
_cell_length_c 4.8374
_cell_angle_alpha 90.00
_cell_angle_beta 90.00
_cell_angle_gamma 90.00
_space_group_name_H-M_alt 'P 4/m m m'
_space_group_IT_number 123
_space_group_name_Hall '-P 4 2'
loop_
_atom_site_label
_atom_site_type_symbol
_atom_site_fract_x
_atom_site_fract_y
_atom_site_fract_z
Ca1 Ca 0.0000 0.0000 0.0000
Be1 Be 0.0000 0.5000 0.5000
Ir1 Ir 0.5000 0.5000 0.0000
Cl1 Cl 0.0000 0.0000 0.5000
```


Entry 5:
A plane-wave DFT calculation with PBEsol was carried out for a geometry-optimized Li2TeRh structure.

Calculated values
raw total energy	-16.80	eV for the cell shown
ρ	6.2	g cm⁻³
crystal system	monoclinic
formation energy without anion corrections	-29.0	kJ per mole of atoms

Geometry as CIF:
```
data_Li2TeRh
_cell_length_a 3.2147
_cell_length_b 4.4885
_cell_length_c 4.5594
_cell_angle_alpha 90.00
_cell_angle_beta 92.67
_cell_angle_gamma 90.00
_space_group_name_H-M_alt 'P 1 2/m 1'
_space_group_IT_number 10
_space_group_name_Hall '-P 2y'
loop_
_atom_site_label
_atom_site_type_symbol
_atom_site_fract_x
_atom_site_fract_y
_atom_site_fract_z
Li1 Li 0.2393 0.0000 0.2310
Te1 Te 0.0000 0.5000 0.5000
Rh1 Rh 0.5000 0.5000 0.0000
```


Entry 6:
A plane-wave DFT calculation with PBEsol was carried out for a geometry-optimized FeCu6GeS8 structure.

Calculated values
raw total energy	-321.09	eV for the cell shown
ρ	4.6	g cm⁻³
crystal system	cubic
formation energy without anion corrections	-31.9	kJ per mole of atoms

Geometry as CIF:
```
data_FeCu6GeS8
_cell_length_a 10.3103
_cell_length_b 10.3103
_cell_length_c 10.3103
_cell_angle_alpha 90.00
_cell_angle_beta 90.00
_cell_angle_gamma 90.00
_space_group_name_H-M_alt 'F -4 3 m'
_space_group_IT_number 216
_space_group_name_Hall 'F -4 2 3'
loop_
_atom_site_label
_atom_site_type_symbol
_atom_site_fract_x
_atom_site_fract_y
_atom_site_fract_z
Fe1 Fe 0.0000 0.0000 0.0000
Cu1 Cu 0.0050 0.2500 0.2500
Ge1 Ge 0.0000 0.0000 0.5000
S1 S 0.1211 0.1211 0.1211
S2 S 0.1259 0.1259 0.6259
```


Entry 7:
A plane-wave DFT calculation with PBEsol was carried out for a geometry-optimized LaMg2 structure.

Calculated values
raw total energy	-17.78	eV for the cell shown
ρ	3.7	g cm⁻³
crystal system	hexagonal
formation energy	-0.037	eV per atom

Geometry as CIF:
```
data_LaMg2
_cell_length_a 5.3814
_cell_length_b 5.3814
_cell_length_c 6.6811
_cell_angle_alpha 90.00
_cell_angle_beta 90.00
_cell_angle_gamma 120.00
_space_group_name_H-M_alt 'P 63/m m c'
_space_group_IT_number 194
_space_group_name_Hall '-P 6c 2c'
loop_
_atom_site_label
_atom_site_type_symbol
_atom_site_fract_x
_atom_site_fract_y
_atom_site_fract_z
La1 La 0.3333 0.6667 0.2500
Mg1 Mg 0.0000 0.0000 0.0000
Mg2 Mg 0.3333 0.6667 0.7500
```


Entry 8:
A plane-wave DFT calculation with PBEsol was carried out for a geometry-optimized Rb3HoCl6 structure.

Calculated values
raw total energy	-162.83	eV for the cell shown
ρ	3.0	g cm⁻³
crystal system	cubic
formation energy without anion corrections	-199.1	kJ per mole of atoms

Geometry as CIF:
```
data_Rb3HoCl6
_cell_length_a 11.2470
_cell_length_b 11.2470
_cell_length_c 11.2470
_cell_angle_alpha 90.00
_cell_angle_beta 90.00
_cell_angle_gamma 90.00
_space_group_name_H-M_alt 'F m -3 m'
_space_group_IT_number 225
_space_group_name_Hall '-F 4 2 3'
loop_
_atom_site_label
_atom_site_type_symbol
_atom_site_fract_x
_atom_site_fract_y
_atom_site_fract_z
Rb1 Rb 0.0000 0.0000 0.0000
Rb2 Rb 0.2500 0.2500 0.2500
Ho1 Ho 0.0000 0.0000 0.5000
Cl1 Cl 0.0000 0.0000 0.2701
```


Entry 9:
A plane-wave DFT calculation with PBEsol was carried out for a geometry-optimized FeSbS2 structure.

Calculated values
raw total energy	-70.67	eV for the cell shown
ρ	5.5	g cm⁻³
crystal system	trigonal
formation energy without anion corrections	-30.5	kJ per mole of atoms

Geometry as CIF:
```
data_FeSbS2
_cell_length_a 3.3185
_cell_length_b 3.3185
_cell_length_c 23.1353
_cell_angle_alpha 90.00
_cell_angle_beta 90.00
_cell_angle_gamma 120.00
_space_group_name_H-M_alt 'R -3 m'
_space_group_IT_number 166
_space_group_name_Hall '-R 3 2"'
loop_
_atom_site_label
_atom_site_type_symbol
_atom_site_fract_x
_atom_site_fract_y
_atom_site_fract_z
Fe1 Fe 0.0000 0.0000 0.0000
Sb1 Sb 0.0000 0.0000 0.5000
S1 S 0.0000 0.0000 0.3830
```


Entry 10:
A plane-wave DFT calculation with PBEsol was carried out for a geometry-optimized ScP3Ir structure.

Calculated values
raw total energy	-27.41	eV for the cell shown
ρ	5.3	g cm⁻³
crystal system	cubic
formation energy	1.279	eV per atom

Geometry as CIF:
```
data_ScP3Ir
_cell_length_a 4.6798
_cell_length_b 4.6798
_cell_length_c 4.6798
_cell_angle_alpha 90.00
_cell_angle_beta 90.00
_cell_angle_gamma 90.00
_space_group_name_H-M_alt 'P m -3 m'
_space_group_IT_number 221
_space_group_name_Hall '-P 4 2 3'
loop_
_atom_site_label
_atom_site_type_symbol
_atom_site_fract_x
_atom_site_fract_y
_atom_site_fract_z
Sc1 Sc 0.0000 0.0000 0.0000
P1 P 0.0000 0.0000 0.5000
Ir1 Ir 0.5000 0.5000 0.5000
```


Entry 11:
A plane-wave DFT calculation with PBEsol was carried out for a geometry-optimized LaCr2CuNi structure.

Calculated values
raw total energy	-30.45	eV for the cell shown
ρ	5.7	g cm⁻³
crystal system	tetragonal
formation energy	1.175	eV per atom

Geometry as CIF:
```
data_LaCr2CuNi
_cell_length_a 4.5513
_cell_length_b 4.5513
_cell_length_c 5.1630
_cell_angle_alpha 90.00
_cell_angle_beta 90.00
_cell_angle_gamma 90.00
_space_group_name_H-M_alt 'P 4/m m m'
_space_group_IT_number 123
_space_group_name_Hall '-P 4 2'
loop_
_atom_site_label
_atom_site_type_symbol
_atom_site_fract_x
_atom_site_fract_y
_atom_site_fract_z
La1 La 0.0000 0.0000 0.0000
Cr1 Cr 0.0000 0.5000 0.5000
Cu1 Cu 0.0000 0.0000 0.5000
Ni1 Ni 0.5000 0.5000 0.0000
```


Entry 12:
A plane-wave DFT calculation with PBEsol was carried out for a geometry-optimized Tl2S structure.

Calculated values
raw total energy	-31.67	eV for the cell shown
ρ	8.8	g cm⁻³
crystal system	trigonal
formation energy without anion corrections	-29.3	kJ per mole of atoms

Geometry as CIF:
```
data_Tl2S
_cell_length_a 6.9732
_cell_length_b 6.9732
_cell_length_c 5.9193
_cell_angle_alpha 90.00
_cell_angle_beta 90.00
_cell_angle_gamma 120.00
_space_group_name_H-M_alt 'P 3'
_space_group_IT_number 143
_space_group_name_Hall 'P 3'
loop_
_atom_site_label
_atom_site_type_symbol
_atom_site_fract_x
_atom_site_fract_y
_atom_site_fract_z
Tl1 Tl 0.0026 0.7123 0.0000
Tl2 Tl 0.3770 0.0033 0.4443
S1 S 0.0000 0.0000 0.6217
S2 S 0.3333 0.6667 0.7621
S3 S 0.6667 0.3333 0.7721
```